SrCoSeO6: relaxed, PBE+U.

The structure belongs to space group C2 (No. 5); the cell edges are 4.9502, 8.4899 and 5.4610 Å and the angles 90.00°, 90.57° and 90.00°. The distinct sites, in fractional coordinates, are Sr at (0.0000, 0.0000, 0.0000), Co at (0.0000, 0.3297, 0.5000), Se at (0.0000, 0.6678, 0.5000), O at (0.1149, 0.5060, 0.6920), O at (0.1840, 0.8074, 0.6920) and O at (0.1980, 0.1932, 0.6930).

The energy is -5.745 eV per atom. The magnetic moment comes out at 2.068 μB per cell.